No. 1
Tl5InHgBi2 (GGA-PBE, relaxed); N(E_F) = 0.4262 states/eV per atom; formation energy from the elements = 0.21 eV/f.u.; M_tot = 0.0 μB per cell; E = -2.492 eV per atom; symmetry = Cmc2_1 (36); crystal system = orthorhombic
1.0
-2.1498 -3.2567 2.6784
6.9419 2.8252 4.8252
-8.0424 10.0063 5.7117
Bi Tl Hg In
4 10 2 2
Cartesian
1.3107 0.2501 5.5381 Bi
-2.4621 6.7130 6.1864 Bi
-2.2079 7.9551 12.0827 Bi
-2.5333 3.4744 2.1913 Bi
-3.3971 10.6730 10.2511 Tl
-0.2197 4.0713 4.7741 Tl
-1.5401 0.7723 3.8848 Tl
-1.1355 8.0873 8.9223 Tl
-3.4867 3.4222 5.5446 Tl
-4.6542 6.0021 3.5624 Tl
2.6818 3.3058 6.1722 Tl
3.8672 0.5078 7.9034 Tl
-4.6940 7.5729 9.6225 Tl
-5.7209 6.0060 6.8930 Tl
-1.5940 4.3131 8.1470 Hg
2.0556 0.6432 2.4320 Hg
-7.8741 8.2272 7.8656 In
1.1609 5.6559 7.8090 In


No. 2
Tl2InHg6Bi (GGA-PBE, relaxed); N(E_F) = 0.3270 states/eV per atom; formation energy from the elements = 0.22 eV/f.u.; M_tot = 0.0 μB per cell; E = -1.294 eV per atom; symmetry = P-1 (2); crystal system = triclinic
1.0
5.8009 -0.7721 1.6419
-0.8321 9.8307 -0.4475
3.4494 4.2562 6.1013
Hg In Tl Bi
6 1 2 1
Cartesian
7.5115 5.8219 6.8416 Hg
0.9067 7.4929 0.4542 Hg
7.4703 2.8579 5.2558 Hg
5.2523 6.3787 4.7802 Hg
3.1659 6.9361 2.5156 Hg
0.9479 10.4569 2.0399 Hg
0.0000 0.0000 0.0000 In
3.4281 9.8111 4.2012 Tl
4.9900 3.5037 3.0945 Tl
2.4844 4.5293 0.5972 Bi